1.
{"formula": "Ta2CdAu", "functional": "PBE", "state": "relaxed", "lattice": [[2.872, 0.021, 0.000], [-0.624, 2.803, 0.000], [0.000, 0.000, 9.255]], "species": ["Cd", "Au", "Ta", "Ta"], "frac_coords": [[0.500, 0.500, 0.748], [0.000, 0.000, 0.490], [0.000, 0.000, 0.011], [0.500, 0.500, 0.251]], "crystal_system": "orthorhombic"}

---

2.
{"formula": "TaCd2Au", "functional": "PBE", "state": "relaxed", "lattice": [[10.325, 0.034, 0.020], [9.882, 2.990, 0.020], [9.882, 1.479, 2.598]], "species": ["Cd", "Cd", "Au", "Ta"], "frac_coords": [[0.005, 0.005, 0.005], [0.246, 0.246, 0.246], [0.754, 0.754, 0.754], [0.496, 0.496, 0.496]], "polymorph_energy_mev_per_atom": 55.6, "crystal_system": "trigonal"}

---

3.
{"formula": "Ta2CdAu", "functional": "PBE", "state": "relaxed", "lattice": [[-2.570, -1.332, -0.428], [0.355, -2.140, 4.525], [-2.150, 2.507, 5.098]], "species": ["Cd", "Au", "Ta", "Ta"], "frac_coords": [[0.000, 0.000, 0.500], [0.500, 0.500, 0.500], [0.000, 0.000, 0.000], [0.500, 0.500, 0.000]], "crystal_system": "monoclinic"}

---

4.
{"formula": "Ta2CdAu", "functional": "PBE", "state": "relaxed", "lattice": [[5.055, 0.001, 0.005], [4.183, 2.840, 0.005], [0.934, 0.287, 5.206]], "species": ["Cd", "Au", "Ta", "Ta"], "frac_coords": [[0.751, 0.751, 0.740], [0.507, 0.507, 0.505], [0.990, 0.990, 0.019], [0.252, 0.252, 0.236]], "crystal_system": "monoclinic"}

---

5.
{"formula": "TaCd2Au", "functional": "PBE", "state": "relaxed", "lattice": [[-3.368, -2.509, -2.218], [1.287, -2.461, 0.829], [-2.712, -0.720, 4.931]], "species": ["Cd", "Cd", "Au", "Ta"], "frac_coords": [[0.000, 0.901, 0.001], [0.000, 0.599, 0.499], [0.500, 0.750, 0.750], [0.500, 0.250, 0.250]], "polymorph_energy_mev_per_atom": 186.9, "crystal_system": "monoclinic"}

---

6.
{"formula": "TaCd2Au", "functional": "PBE", "state": "relaxed", "lattice": [[3.108, 0.000, 0.000], [0.000, 4.974, 0.000], [0.000, 0.000, 5.026]], "species": ["Cd", "Cd", "Au", "Ta"], "frac_coords": [[0.000, 0.000, 0.000], [0.500, 0.500, 0.000], [0.000, 0.500, 0.500], [0.500, 0.000, 0.500]], "polymorph_energy_mev_per_atom": 214.5, "crystal_system": "orthorhombic"}

---

Looking at total magnetic moment for the records above, in order, we have 0.00 0.00 0.00 0.00 0.00 0.00 μB per cell.
Looking at E for the records above, in order, we have -0.2566 -0.1522 -0.2497 -0.2494 -0.1474 -0.1464 hartree per atom.